one.
# LiMn2F5

A geometry-optimized LiMn2F5 structure (GGA+U, Alexandria).

Cell lengths 6.1438, 6.1438, 7.6024 Å; angles 69.25, 69.25, 50.89 degrees
Last column: magnetic moment on the atom in μB.
Fractional coordinates of all 16 atoms:
Li  0.0000  0.0000  0.5000  0.00
Li  0.0000  0.0000  0.0000  0.00
Mn  0.6275  0.6353  0.2709  4.69
Mn  0.6353  0.6275  0.7709  4.69
Mn  0.3647  0.3725  0.2291  4.69
Mn  0.3725  0.3647  0.7291  4.69
F  0.7452  0.4138  0.0518  0.05
F  0.4138  0.7452  0.5518  0.05
F  0.0308  0.3323  0.3490  0.05
F  0.6677  0.9692  0.1510  0.05
F  0.3323  0.0308  0.8490  0.05
F  0.9692  0.6677  0.6510  0.05
F  0.5862  0.2548  0.4482  0.05
F  0.2085  0.7915  0.2500  0.04
F  0.2548  0.5862  0.9482  0.05
F  0.7915  0.2085  0.7500  0.04

crystal system = monoclinic
total moment = 1.25 μB per atom



two.
# LiMn2F5

A geometry-optimized LiMn2F5 structure (GGA+U, Alexandria).

Cell lengths 7.8663, 7.8663, 10.2971 Å; angles 64.53, 64.53, 51.03 degrees
Last column: magnetic moment on the atom in μB.
Fractional coordinates of all 32 atoms:
Li  0.6992  0.9388  0.3182  0.00
Li  0.0612  0.3008  0.1818  0.00
Li  0.9388  0.6992  0.8182  0.00
Li  0.3008  0.0612  0.6818  0.00
Mn  0.7779  0.5057  0.6429  4.70
Mn  0.1178  0.7340  0.0181  4.69
Mn  0.2660  0.8822  0.4819  4.69
Mn  0.5057  0.7779  0.1429  4.70
Mn  0.4943  0.2221  0.8571  4.70
Mn  0.7340  0.1178  0.5181  4.69
Mn  0.8822  0.2660  0.9819  4.69
Mn  0.2221  0.4943  0.3571  4.70
F  0.8787  0.9908  0.1388  0.04
F  0.1132  0.2705  0.5412  0.04
F  0.4623  0.8020  0.6096  0.04
F  0.0872  0.4980  0.2146  0.04
F  0.5020  0.9128  0.2854  0.04
F  0.6420  0.3587  0.8795  0.06
F  0.6413  0.3580  0.6205  0.06
F  0.0092  0.1213  0.3612  0.04
F  0.2705  0.1132  0.0412  0.04
F  0.1980  0.5377  0.8904  0.04
F  0.8020  0.4623  0.1096  0.04
F  0.7295  0.8868  0.9588  0.04
F  0.9908  0.8787  0.6388  0.04
F  0.3587  0.6420  0.3795  0.06
F  0.3580  0.6413  0.1205  0.06
F  0.4980  0.0872  0.7146  0.04
F  0.9128  0.5020  0.7854  0.04
F  0.5377  0.1980  0.3904  0.04
F  0.8868  0.7295  0.4588  0.04
F  0.1213  0.0092  0.8612  0.04

crystal system = monoclinic
total moment = 1.25 μB per atom



Among the structures above, stability is smallest for two.